--- w ---
First-principles (GGA-PBE) data for an optimized crystal structure of YFeMoAs, as listed in the Open Quantum Materials Database.

As for the crystal system: cubic. Its space group is No. 216. The value obtained for the mass density is 8.04 g/cm3. The value obtained for the volume is 16.29 A^3/atom.

Cell lengths 4.5165, 4.5165, 4.5165 Å; angles 60.00, 60.00, 60.00 degrees
Last column: nearest neighbours and their distance in Å.
Element x y z (fractional)
Y 0.0000 0.0000 0.0000  4 Fe 2.77, 4 Mo 2.77
Fe 0.7500 0.7500 0.7500  4 As 2.77, 4 Y 2.77
Mo 0.2500 0.2500 0.2500  4 As 2.77, 4 Y 2.77
As 0.5000 0.5000 0.5000  4 Fe 2.77, 4 Mo 2.77

--- x ---
First-principles (GGA-PBE) data for an optimized crystal structure of YFeMoAs, as listed in the Open Quantum Materials Database.

As for the crystal system: cubic. Its space group is No. 216. The value obtained for the mass density is 7.43 g/cm3. The value obtained for the volume is 17.64 A^3/atom.

Cell lengths 4.6380, 4.6380, 4.6380 Å; angles 60.00, 60.00, 60.00 degrees
Last column: nearest neighbours and their distance in Å.
Element x y z (fractional)
Y 0.0000 0.0000 0.0000  4 As 2.84, 4 Mo 2.84
Fe 0.5000 0.5000 0.5000  4 Mo 2.84, 4 As 2.84
Mo 0.7500 0.7500 0.7500  4 Fe 2.84, 4 Y 2.84
As 0.2500 0.2500 0.2500  4 Fe 2.84, 4 Y 2.84

Which is more stable than every other structure shown? w is more stable than every other one.